Record 1
Cs2Bi2Pd3 after structural relaxation, computed with PBE.

It has space group C2/m (No. 12), with a = 14.238 Å, b = 4.520 Å, c = 9.551 Å, α = 90.00°, β = 131.01° and γ = 90.00°. The distinct sites, in fractional coordinates, are Cs at (0.182, 0.000, 0.110), Bi at (0.049, 0.500, 0.363), Pd at (0.000, 0.000, 0.500) and Pd at (0.195, 0.000, 0.499).

The value obtained for the mass density is 7.2 Mg/m³. The value obtained for the total magnetization is 0.0 μB per cell. As for the energy relative to the elements: -7.2 kcal/mol of atoms.

=====

Record 2
CsBi2Pd after structural relaxation, computed with PBE.

It has space group R3m (No. 160, hexagonal axes), with a = 4.4902 Å, b = 4.4902 Å, c = 24.7935 Å, α = 90.00°, β = 90.00° and γ = 120.00°. The distinct sites, in fractional coordinates, are Cs at (0.0000, 0.0000, 0.0000), Bi at (0.0000, 0.0000, 0.5501), Bi at (0.0000, 0.0000, 0.7912) and Pd at (0.0000, 0.0000, 0.1719).

The value obtained for the mass density is 7.6 Mg/m³. The value obtained for the total magnetization is 0.0 μB per cell. As for the energy relative to the elements: -6.8 kcal/mol of atoms.

=====

Record 3
Cs2Bi2Pd after structural relaxation, computed with PBE.

It has space group Ibam (No. 72), with a = 6.697 Å, b = 22.148 Å, c = 7.018 Å, α = 90.00°, β = 90.00° and γ = 90.00°. The distinct sites, in fractional coordinates, are Cs at (0.229, 0.140, 0.000), Bi at (0.206, 0.464, 0.000) and Pd at (0.000, 0.000, 0.250).

The value obtained for the mass density is 5.0 Mg/m³. The value obtained for the total magnetization is 0.0 μB per cell. As for the energy relative to the elements: -6.6 kcal/mol of atoms.

=====

Record 4
Cs3Bi4Pd2 after structural relaxation, computed with PBE.

It has space group C2/m (No. 12), with a = 14.852 Å, b = 4.580 Å, c = 10.964 Å, α = 90.00°, β = 102.54° and γ = 90.00°. The distinct sites, in fractional coordinates, are Cs at (0.000, 0.000, 0.000), Cs at (0.122, 0.500, 0.399), Bi at (0.103, 0.000, 0.686), Bi at (0.220, 0.500, 0.095) and Pd at (0.173, 0.500, 0.829).

The value obtained for the mass density is 6.6 Mg/m³. The value obtained for the total magnetization is 0.0 μB per cell. As for the energy relative to the elements: -8.0 kcal/mol of atoms.